TeW3O after structural relaxation. Source: Alexandria via LeMat-Bulk, functional GGA+U.

```
5
Lattice="4.3451 0.0000 0.0000 0.0000 4.3451 0.0000 0.0000 0.0000 4.3451" Properties=species:S:1:pos:R:3 pbc="T T T"
Te 0.0000 0.0000 0.0000
W 0.0000 2.1726 2.1726
W 2.1726 0.0000 2.1726
W 2.1726 2.1726 0.0000
O 2.1726 2.1726 2.1726
```

## Properties
- Size of the total moment: 0.7008 μB per atom
- Volume: 16.4 Å³/atom
- SG: Pm-3m
- Energy above the most stable polymorph in this dataset: 0 meV per atom